VASP calculation (PBE) on crystalline CsK2Li2 at its relaxed geometry.

Unit cell a=10.693 b=10.693 c=4.939 alpha=90.00 beta=90.00 gamma=90.00
Sites, in units of the cell vectors:
1 Cs 0.500 0.500 0.000
2 Cs 0.000 0.000 0.000
3 Li 0.107 0.393 0.000
4 Li 0.393 0.893 0.000
5 Li 0.607 0.107 0.000
6 Li 0.893 0.607 0.000
7 K 0.332 0.168 0.500
8 K 0.832 0.332 0.500
9 K 0.168 0.668 0.500
10 K 0.668 0.832 0.500

## Properties
The energy above the most stable polymorph in this dataset comes out at 0 meV/atom. The calculation puts the magnetic moment at 0.00 μB per formula unit. The calculation puts the formation energy at 0.7 eV per formula unit.